[1]
LiCr2Pt after structural relaxation. Source: Alexandria, functional GGA-PBEsol.

For the density of states at the Fermi level, the calculation gives 0.94 states/eV per atom. Its calculated volume is 12.63 Å³ per atom. Its formation enthalpy at 0 K is 0.150 eV/f.u.

The space group is F-43m (No. 216) and the conventional cell measures 5.868, 5.868 and 5.868 Å, with angles of 90.00, 90.00 and 90.00 degrees. Symmetry generates all atoms from Li at (0.000, 0.000, 0.000), Cr at (0.000, 0.000, 0.500), Cr at (0.250, 0.250, 0.250) and Pt at (0.250, 0.250, 0.750).


[2]
LiTa2CrPt after structural relaxation. Source: Alexandria, functional GGA-PBEsol.

For the density of states at the Fermi level, the calculation gives 0.72 states/eV per atom. Its calculated volume is 18.95 Å³ per atom. Its formation enthalpy at 0 K is 4.397 eV/f.u.

The space group is P4/mmm (No. 123) and the conventional cell measures 4.504, 4.504 and 4.670 Å, with angles of 90.00, 90.00 and 90.00 degrees. Symmetry generates all atoms from Li at (0.000, 0.000, 0.000), Ta at (0.000, 0.500, 0.500), Cr at (0.500, 0.500, 0.500) and Pt at (0.500, 0.500, 0.000).


[3]
Rb2LiCr after structural relaxation. Source: Alexandria, functional GGA-PBEsol.

For the density of states at the Fermi level, the calculation gives 0.60 states/eV per atom. Its calculated volume is 44.18 Å³ per atom. Its formation enthalpy at 0 K is 3.722 eV/f.u.

The space group is I-42d (No. 122) and the conventional cell measures 10.004, 10.004 and 7.064 Å, with angles of 90.00, 90.00 and 90.00 degrees. Symmetry generates all atoms from Rb at (0.242, 0.250, 0.125), Li at (0.000, 0.000, 0.500) and Cr at (0.000, 0.000, 0.000).


[4]
LiCrRe2 after structural relaxation. Source: Alexandria, functional GGA-PBEsol.

The calculation puts the energy above the lowest structure with this stoichiometry at 0.0416 eV per atom. For the density of states at the Fermi level, the calculation gives 0.73 states/eV per atom. Its calculated volume is 13.89 Å³ per atom. Its formation enthalpy at 0 K is 1.070 eV/f.u.

The space group is R-3m (No. 166, hexagonal axes) and the conventional cell measures 2.6787, 2.6787 and 26.8157 Å, with angles of 90.00, 90.00 and 120.00 degrees. Symmetry generates all atoms from Li at (0.0000, 0.0000, 0.0000), Cr at (0.0000, 0.0000, 0.5000) and Re at (0.0000, 0.0000, 0.2438).


[5]
LiCr2Re after structural relaxation. Source: Alexandria, functional GGA-PBEsol.

The calculation puts the energy above the lowest structure with this stoichiometry at 0.2155 eV per atom. For the density of states at the Fermi level, the calculation gives 1.31 states/eV per atom. Its calculated volume is 13.64 Å³ per atom. Its formation enthalpy at 0 K is 2.478 eV/f.u.

The space group is P4/mmm (No. 123) and the conventional cell measures 2.583, 2.583 and 8.173 Å, with angles of 90.00, 90.00 and 90.00 degrees. Symmetry generates all atoms from Li at (0.000, 0.000, 0.000), Cr at (0.500, 0.500, 0.270) and Re at (0.000, 0.000, 0.500).


[6]
LiCrRe2 after structural relaxation. Source: Alexandria, functional GGA-PBEsol.

The calculation puts the energy above the lowest structure with this stoichiometry at 0.0000 eV per atom. For the density of states at the Fermi level, the calculation gives 0.79 states/eV per atom. Its calculated volume is 13.72 Å³ per atom. Its formation enthalpy at 0 K is 0.904 eV/f.u.

The space group is Cmmm (No. 65) and the conventional cell measures 2.937, 4.266 and 8.757 Å, with angles of 90.00, 90.00 and 90.00 degrees. Symmetry generates all atoms from Li at (0.000, 0.000, 0.000), Cr at (0.000, 0.000, 0.500) and Re at (0.000, 0.500, 0.266).


[7]
LiCr2Re after structural relaxation. Source: Alexandria, functional GGA-PBEsol.

The calculation puts the energy above the lowest structure with this stoichiometry at 0.0550 eV per atom. For the density of states at the Fermi level, the calculation gives 0.80 states/eV per atom. Its calculated volume is 12.39 Å³ per atom. Its formation enthalpy at 0 K is 1.836 eV/f.u.

The space group is Pmm2 (No. 25) and the conventional cell measures 2.429, 4.081 and 4.999 Å, with angles of 90.00, 90.00 and 90.00 degrees. Symmetry generates all atoms from Li at (0.000, 0.000, 0.000), Cr at (0.000, 0.000, 0.507), Cr at (0.500, 0.500, 0.763) and Re at (0.500, 0.500, 0.254).


[8]
LiCr2Re after structural relaxation. Source: Alexandria, functional GGA-PBEsol.

The calculation puts the energy above the lowest structure with this stoichiometry at 0.0040 eV per atom. For the density of states at the Fermi level, the calculation gives 0.82 states/eV per atom. Its calculated volume is 12.04 Å³ per atom. Its formation enthalpy at 0 K is 1.632 eV/f.u.

The space group is Immm (No. 71) and the conventional cell measures 2.933, 4.082 and 8.046 Å, with angles of 90.00, 90.00 and 90.00 degrees. Symmetry generates all atoms from Li at (0.000, 0.000, 0.000), Cr at (0.000, 0.500, 0.241) and Re at (0.000, 0.000, 0.500).


Question: Look up the density of states at the Fermi level of the seventh one.
Answer: 0.80 states/eV per atom


Question: Which value of calculated volume does entry 5 give?
Answer: 13.64 Å³ per atom


Question: Which value of density of states at the Fermi level does entry 7 give?
Answer: 0.80 states/eV per atom


Question: Look up the calculated volume of the third one.
Answer: 44.18 Å³ per atom